No. 1
# LaErAu | Alexandria | PBE | optimized geometry
# E above lowest polymorph = 0.0 meV/atom
# spin magnetization = 0.000 μB/atom
# space group = P4/nmm, No. 129
# V = 29.253 A^3/atom
data_LaErAu
_chemical_formula_sum 'La2 Er2 Au2'
_symmetry_space_group_name_H-M 'P 1'
_symmetry_Int_Tables_number 1
_cell_length_a 4.878
_cell_length_b 4.878
_cell_length_c 7.377
_cell_angle_alpha 90.00
_cell_angle_beta 90.00
_cell_angle_gamma 90.00
loop_
_symmetry_equiv_pos_as_xyz
'x,y,z'
loop_
_atom_site_label
_atom_site_type_symbol
_atom_site_fract_x
_atom_site_fract_y
_atom_site_fract_z
_atom_site_occupancy
La1 La 0.250 0.250 0.120 1
La2 La 0.750 0.750 0.880 1
Er1 Er 0.250 0.750 0.500 1
Er2 Er 0.750 0.250 0.500 1
Au1 Au 0.250 0.250 0.720 1
Au2 Au 0.750 0.750 0.280 1

No. 2
# Hg3Pd2Pb2 | Alexandria | PBE | optimized geometry
# spin magnetization = 0.000 μB/atom
# space group = C2/m, No. 12
# V = 23.133 A^3/atom
data_Hg3Pd2Pb2
_chemical_formula_sum 'Hg6 Pd4 Pb4'
_symmetry_space_group_name_H-M 'P 1'
_symmetry_Int_Tables_number 1
_cell_length_a 10.443
_cell_length_b 4.277
_cell_length_c 7.801
_cell_angle_alpha 90.00
_cell_angle_beta 111.65
_cell_angle_gamma 90.00
loop_
_symmetry_equiv_pos_as_xyz
'x,y,z'
loop_
_atom_site_label
_atom_site_type_symbol
_atom_site_fract_x
_atom_site_fract_y
_atom_site_fract_z
_atom_site_occupancy
Hg1 Hg 0.000 0.000 0.000 1
Hg2 Hg 0.124 0.000 0.445 1
Hg3 Hg 0.376 0.500 0.555 1
Hg4 Hg 0.500 0.500 0.000 1
Hg5 Hg 0.624 0.500 0.445 1
Hg6 Hg 0.876 0.000 0.555 1
Pd1 Pd 0.156 0.500 0.203 1
Pd2 Pd 0.344 0.000 0.797 1
Pd3 Pd 0.656 0.000 0.203 1
Pd4 Pd 0.844 0.500 0.797 1
Pb1 Pb 0.147 0.500 0.802 1
Pb2 Pb 0.353 0.000 0.198 1
Pb3 Pb 0.647 0.000 0.802 1
Pb4 Pb 0.853 0.500 0.198 1

No. 3
# Re2NiPb | Alexandria | PBE | optimized geometry
# spin magnetization = 0.000 μB/atom
# space group = P4/mmm, No. 123
# V = 16.204 A^3/atom
data_Re2NiPb
_chemical_formula_sum 'Re2 Ni1 Pb1'
_symmetry_space_group_name_H-M 'P 1'
_symmetry_Int_Tables_number 1
_cell_length_a 3.805
_cell_length_b 3.805
_cell_length_c 4.476
_cell_angle_alpha 90.00
_cell_angle_beta 90.00
_cell_angle_gamma 90.00
loop_
_symmetry_equiv_pos_as_xyz
'x,y,z'
loop_
_atom_site_label
_atom_site_type_symbol
_atom_site_fract_x
_atom_site_fract_y
_atom_site_fract_z
_atom_site_occupancy
Re1 Re 0.000 0.500 0.000 1
Re2 Re 0.500 0.000 0.000 1
Ni1 Ni 0.000 0.000 0.500 1
Pb1 Pb 0.500 0.500 0.500 1

Number 1: formation energy -0.599 eV per atom. Number 2: formation energy -0.102 eV per atom. Number 3: formation energy 0.840 eV per atom.